Density functional theory data (PBE-GGA) for a relaxed KLiCeCl5 crystal.

extended XYZ file:
```
16
Lattice="7.5805 -0.0384 -0.0813 -2.2495 7.2392 -0.0813 -2.3110 -3.1216 9.4611" Properties=species:S:1:pos:R:3 pbc="T T T"
K 0.6524 3.8827 2.2839
K 2.3676 0.1966 7.0145
Li 3.9454 1.4447 2.2839
Li -0.9254 2.6345 7.0145
Ce -1.1555 -1.5608 4.7305
Ce 0.0000 0.0000 0.0000
Cl -1.9133 5.7821 2.2839
Cl 4.9333 -1.7029 7.0145
Cl 5.9798 1.8759 1.0949
Cl -2.9598 2.2034 8.2036
Cl 4.1269 -0.6269 3.4730
Cl -1.1069 4.7061 5.8254
Cl 3.3003 3.1091 3.9167
Cl -0.2803 0.9701 5.3818
Cl 2.1652 1.5759 0.6512
Cl 0.8548 2.5034 8.6472
```

Summary:
The calculated volume comes out at 514.5 Å³ per cell. The calculated density is 2.3 g cm⁻³. As for the symmetry: C2/c, No. 15. Its spin magnetization is 2.0 μB/cell. As for the formation energy without anion corrections: -2.05 eV per atom.